# 1
VASP calculation (PBE-GGA) on crystalline MnIrPt at its relaxed geometry.

Lattice parameters (Å, degrees): 7.047 6.806 2.743 83.55 73.69 22.76
Site moments in Bohr magnetons follow the coordinates.
Sites, in units of the cell vectors:
Ir1 0.990 0.990 0.010  0.30
Mn1 0.336 0.336 0.664  3.47
Pt1 0.674 0.674 0.326  0.22

Results
polymorph energy (0 for the lowest one) = 174 meV per atom

***

# 2
VASP calculation (PBE-GGA) on crystalline Mn2IrPt9 at its relaxed geometry.

Lattice parameters (Å, degrees): 3.934 3.934 11.836 90.00 90.00 90.00
Site moments in Bohr magnetons follow the coordinates.
Sites, in units of the cell vectors:
Mn1 0.000 0.000 0.333  3.76
Mn2 0.000 0.000 0.667  3.76
Ir1 0.000 0.000 0.000  -0.57
Pt1 0.500 0.500 0.000  -0.04
Pt2 0.500 0.500 0.335  0.17
Pt3 0.500 0.500 0.665  0.17
Pt4 0.500 0.000 0.169  0.00
Pt5 0.500 0.000 0.500  0.17
Pt6 0.500 0.000 0.831  0.00
Pt7 0.000 0.500 0.169  0.00
Pt8 0.000 0.500 0.500  0.17
Pt9 0.000 0.500 0.831  0.00

***

# 3
VASP calculation (PBE-GGA) on crystalline MnIrPt14 at its relaxed geometry.

Lattice parameters (Å, degrees): 5.573 5.573 9.234 90.00 90.00 119.93
Site moments in Bohr magnetons follow the coordinates.
Sites, in units of the cell vectors:
Mn1 0.042 0.958 0.500  3.76
Ir1 0.541 0.459 0.500  0.04
Pt1 0.207 0.793 0.000  0.02
Pt2 0.707 0.293 0.000  -0.13
Pt3 0.044 0.456 0.500  0.09
Pt4 0.207 0.293 0.000  0.04
Pt5 0.544 0.956 0.500  0.09
Pt6 0.707 0.793 0.000  0.04
Pt7 0.373 0.126 0.743  0.05
Pt8 0.373 0.126 0.257  0.05
Pt9 0.874 0.627 0.743  0.05
Pt10 0.874 0.627 0.257  0.05
Pt11 0.376 0.624 0.748  0.06
Pt12 0.376 0.624 0.252  0.06
Pt13 0.876 0.124 0.747  0.05
Pt14 0.876 0.124 0.253  0.05

***

# 4
VASP calculation (PBE-GGA) on crystalline MnIr2Pt at its relaxed geometry.

Lattice parameters (Å, degrees): 2.724 2.724 9.115 90.00 90.00 118.91
Site moments in Bohr magnetons follow the coordinates.
Sites, in units of the cell vectors:
Ir1 0.000 0.000 0.018  0.18
Ir2 0.000 0.000 0.482  0.18
Mn1 0.500 0.500 0.250  3.06
Pt1 0.500 0.500 0.750  -0.07

***

Values for energy of formation from the pure elements, eV/f.u., ordered as above
0.1; -2.4; -0.7; 0.4
Values for VASP energy, eV/atom, ordered as above
-8.001; -7.001; -6.458; -8.126
Values for mass density, g/cm³, ordered as above
16.4; 18.7; 19.9; 17.8